[1]
{"formula": "Pr3Sm2Ho4", "functional": "PBE", "state": "relaxed", "formation_energy_ev_per_fu": 0.82, "spacegroup": "C2/m, No. 12", "dos_at_fermi_per_ev_atom": 1.634, "m_tot_mub_per_fu": 0.00, "density_kg_m3": 7573, "energy_ev_per_atom": -4.585, "e_above_lowest_polymorph_mev_per_atom": 0, "lattice": [[5.6890, 0.0000, 0.0000], [-2.8446, 8.0480, -3.0891], [0.0000, -0.0442, 6.6413]], "species": ["Pr", "Pr", "Pr", "Sm", "Sm", "Ho", "Ho", "Ho", "Ho"], "fractional_positions": [[0.8636, 0.7273, 0.4181], [0.1364, 0.2727, 0.5819], [0.0000, 0.0000, 0.0000], [0.6376, 0.2752, 0.2986], [0.3624, 0.7248, 0.7014], [0.7777, 0.5555, 0.8570], [0.2223, 0.4445, 0.1430], [0.4289, 0.8579, 0.2448], [0.5711, 0.1421, 0.7552]]}

[2]
{"formula": "Ca3AcTl4", "functional": "PBE", "state": "relaxed", "formation_energy_ev_per_fu": -3.41, "spacegroup": "Pmma, No. 51", "dos_at_fermi_per_ev_atom": 0.624, "m_tot_mub_per_fu": 0.00, "density_kg_m3": 7758, "energy_ev_per_atom": -2.874, "lattice": [[5.6078, 0.0000, 0.0000], [0.0000, 7.9316, 0.0000], [0.0000, 0.0000, 11.2101]], "species": ["Ca", "Ca", "Ca", "Ca", "Ca", "Ca", "Ac", "Ac", "Tl", "Tl", "Tl", "Tl", "Tl", "Tl", "Tl", "Tl"], "fractional_positions": [[0.0000, 0.0000, 0.0000], [0.0000, 0.0000, 0.5000], [0.5010, 0.0000, 0.7500], [0.4990, 0.0000, 0.2500], [0.5008, 0.5000, 0.7500], [0.4992, 0.5000, 0.2500], [0.0000, 0.5000, 0.0000], [0.0000, 0.5000, 0.5000], [0.5000, 0.7643, 0.0000], [0.5000, 0.7643, 0.5000], [0.5000, 0.2357, 0.0000], [0.5000, 0.2357, 0.5000], [0.0010, 0.7642, 0.7500], [0.9990, 0.7642, 0.2500], [0.9990, 0.2358, 0.2500], [0.0010, 0.2358, 0.7500]]}

[3]
{"formula": "YHo3N3", "functional": "PBE", "state": "relaxed", "spacegroup": "Pm-3m, No. 221", "dos_at_fermi_per_ev_atom": 0.350, "m_tot_mub_per_fu": 0.00, "density_kg_m3": 8884, "energy_ev_per_atom": -7.861, "e_form_raw_ev_per_fu": -9.9, "lattice": [[-2.4583, 2.6053, 3.3293], [-2.6451, -3.9522, 1.1396], [3.2977, -1.2279, 3.3959]], "species": ["Y", "Ho", "Ho", "Ho", "N", "N", "N"], "fractional_positions": [[0.5000, 0.5000, 0.5000], [0.0000, 0.5000, 0.0000], [0.0000, 0.0000, 0.5000], [0.5000, 0.0000, 0.0000], [0.5000, 0.0000, 0.5000], [0.5000, 0.5000, 0.0000], [0.0000, 0.5000, 0.5000]]}

[4]
{"formula": "PrErScZn", "functional": "PBE", "state": "relaxed", "formation_energy_ev_per_fu": -0.62, "spacegroup": "P4mm, No. 99", "dos_at_fermi_per_ev_atom": 1.065, "m_tot_mub_per_fu": 0.00, "density_kg_m3": 6672, "energy_ev_per_atom": -4.391, "e_above_lowest_polymorph_mev_per_atom": 0, "lattice": [[3.4858, 0.0000, 0.0000], [0.0000, 3.4858, 0.0000], [0.0000, 0.0000, 8.5730]], "species": ["Pr", "Er", "Sc", "Zn"], "fractional_positions": [[0.0000, 0.0000, 0.0843], [0.5000, 0.5000, 0.7705], [0.5000, 0.5000, 0.3765], [0.0000, 0.0000, 0.5535]]}

[5]
{"formula": "Nd3Mg9Ag2", "functional": "PBE", "state": "relaxed", "formation_energy_ev_per_fu": -1.39, "spacegroup": "Immm, No. 71", "dos_at_fermi_per_ev_atom": 0.907, "m_tot_mub_per_fu": 0.00, "density_kg_m3": 4112, "energy_ev_per_atom": -2.553, "lattice": [[4.8063, 0.0000, 1.2265], [2.0630, 8.3090, 1.9463], [0.3255, -0.5651, 8.7555]], "species": ["Nd", "Nd", "Nd", "Mg", "Mg", "Mg", "Mg", "Mg", "Mg", "Mg", "Mg", "Mg", "Ag", "Ag"], "fractional_positions": [[0.0000, 0.0000, 0.0000], [0.7119, 0.2881, 0.2881], [0.2881, 0.7119, 0.7119], [0.0000, 0.5000, 0.5000], [0.6341, 0.9996, 0.7322], [0.3659, 0.0004, 0.2678], [0.6341, 0.7322, 0.9996], [0.3659, 0.2678, 0.0004], [0.8648, 0.8569, 0.4135], [0.1352, 0.1431, 0.5865], [0.8648, 0.4135, 0.8569], [0.1352, 0.5865, 0.1431], [0.5000, 0.3391, 0.6609], [0.5000, 0.6609, 0.3391]]}

[6]
{"formula": "YTi2Pt9", "functional": "PBE", "state": "relaxed", "formation_energy_ev_per_fu": -11.09, "spacegroup": "P4/mmm, No. 123", "dos_at_fermi_per_ev_atom": 0.326, "m_tot_mub_per_fu": 0.00, "density_kg_m3": 16664, "energy_ev_per_atom": -7.309, "lattice": [[4.0087, 0.0000, 0.0000], [0.0000, 4.0087, 0.0000], [0.0000, 0.0000, 12.0318]], "species": ["Y", "Ti", "Ti", "Pt", "Pt", "Pt", "Pt", "Pt", "Pt", "Pt", "Pt", "Pt"], "fractional_positions": [[0.0000, 0.0000, 0.0000], [0.0000, 0.0000, 0.3356], [0.0000, 0.0000, 0.6644], [0.5000, 0.5000, 0.0000], [0.5000, 0.5000, 0.3399], [0.5000, 0.5000, 0.6601], [0.5000, 0.0000, 0.1808], [0.5000, 0.0000, 0.5000], [0.5000, 0.0000, 0.8192], [0.0000, 0.5000, 0.1808], [0.0000, 0.5000, 0.5000], [0.0000, 0.5000, 0.8192]]}

[7]
{"formula": "Be2CuPb", "functional": "PBE", "state": "relaxed", "formation_energy_ev_per_fu": 2.48, "spacegroup": "I-4m2, No. 119", "dos_at_fermi_per_ev_atom": 0.250, "m_tot_mub_per_fu": 0.00, "density_kg_m3": 8191, "energy_ev_per_atom": -3.193, "lattice": [[-1.1784, -1.2074, -4.4952], [-0.4333, -4.7611, -0.4447], [-1.8307, 3.1642, 3.1128]], "species": ["Pb", "Be", "Be", "Cu"], "fractional_positions": [[0.2500, 0.7500, 0.5000], [0.0000, 0.0000, 0.0000], [0.7500, 0.2500, 0.5000], [0.5000, 0.5000, 0.0000]]}

[8]
{"formula": "PrDy14Th", "functional": "PBE", "state": "relaxed", "formation_energy_ev_per_fu": 0.26, "spacegroup": "Amm2, No. 38", "dos_at_fermi_per_ev_atom": 1.199, "m_tot_mub_per_fu": 0.00, "density_kg_m3": 8638, "energy_ev_per_atom": -4.773, "lattice": [[-6.2601, 1.4944, -3.0824], [1.4318, -6.6804, 2.0604], [-4.5641, 2.2113, 10.3413]], "species": ["Pr", "Dy", "Dy", "Dy", "Dy", "Dy", "Dy", "Dy", "Dy", "Dy", "Dy", "Dy", "Dy", "Dy", "Dy", "Th"], "fractional_positions": [[0.2086, 0.7914, 0.5000], [0.0414, 0.9586, 0.0000], [0.5415, 0.4585, 0.0000], [0.2081, 0.2914, 0.5000], [0.0425, 0.4583, 0.0000], [0.7086, 0.7919, 0.5000], [0.5417, 0.9575, 0.0000], [0.3782, 0.1269, 0.7524], [0.3782, 0.1269, 0.2476], [0.8731, 0.6218, 0.7524], [0.8731, 0.6218, 0.2476], [0.3758, 0.6242, 0.7529], [0.3758, 0.6242, 0.2471], [0.8731, 0.1269, 0.7500], [0.8731, 0.1269, 0.2500], [0.7070, 0.2930, 0.5000]]}

[9]
{"formula": "RbLiVI6", "functional": "PBE", "state": "relaxed", "spacegroup": "P312, No. 149", "dos_at_fermi_per_ev_atom": 0.727, "m_tot_mub_per_fu": 0.97, "density_kg_m3": 3835, "energy_ev_per_atom": -3.121, "e_form_raw_ev_per_fu": -6.8, "lattice": [[-0.8994, -2.4302, 6.9426], [-5.6918, -4.4449, 1.6609], [4.6457, -6.5860, -1.7036]], "species": ["Rb", "Li", "V", "I", "I", "I", "I", "I", "I"], "fractional_positions": [[0.0000, 0.0000, 0.0000], [0.6666, 0.6667, 0.5000], [0.3332, 0.3333, 0.5000], [0.0201, 0.3589, 0.3074], [0.3589, 0.0201, 0.6926], [0.6209, 0.3589, 0.6925], [0.0202, 0.6211, 0.6925], [0.3589, 0.6209, 0.3075], [0.6210, 0.0202, 0.3075]]}

[10]
{"formula": "SrMg2H6", "functional": "PBE", "state": "relaxed", "spacegroup": "P-31m, No. 162", "dos_at_fermi_per_ev_atom": 0.000, "m_tot_mub_per_fu": 0.00, "density_kg_m3": 2036, "energy_ev_per_atom": -3.095, "e_above_lowest_polymorph_mev_per_atom": 0, "lattice": [[5.0841, 0.0000, 0.0000], [0.0000, 4.4460, -2.5669], [0.0000, 0.0000, 5.1338]], "species": ["Sr", "Mg", "Mg", "H", "H", "H", "H", "H", "H"], "fractional_positions": [[0.0000, 0.0000, 0.0000], [0.5000, 0.6667, 0.3333], [0.5000, 0.3333, 0.6667], [0.7134, 0.6253, 0.6253], [0.2866, 0.6253, 0.0000], [0.2866, 0.0000, 0.6253], [0.7134, 0.3747, 0.0000], [0.2866, 0.3747, 0.3747], [0.7134, 0.0000, 0.3747]]}

[11]
{"formula": "LiEuTmRu", "functional": "PBE", "state": "relaxed", "formation_energy_ev_per_fu": -0.35, "spacegroup": "F-43m, No. 216", "dos_at_fermi_per_ev_atom": 2.444, "m_tot_mub_per_fu": 6.90, "density_kg_m3": 8293, "energy_ev_per_atom": -6.572, "lattice": [[4.9524, 0.0000, 0.0000], [2.4762, 4.2889, 0.0000], [2.4762, 1.4296, 4.0436]], "species": ["Eu", "Ru", "Tm", "Li"], "fractional_positions": [[0.5000, 0.5000, 0.5000], [0.2500, 0.2500, 0.2500], [0.0000, 0.0000, 0.0000], [0.7500, 0.7500, 0.7500]]}

[12]
{"formula": "Cr2NiOs", "functional": "PBE", "state": "relaxed", "formation_energy_ev_per_fu": 0.37, "spacegroup": "Pmmm, No. 47", "dos_at_fermi_per_ev_atom": 1.281, "m_tot_mub_per_fu": 0.00, "density_kg_m3": 11932, "energy_ev_per_atom": -8.972, "lattice": [[2.6166, 0.0000, 0.0000], [0.0000, 3.6784, 0.0000], [0.0000, 0.0000, 5.1026]], "species": ["Cr", "Cr", "Ni", "Os"], "fractional_positions": [[0.0000, 0.0000, 0.0067], [0.0000, 0.0000, 0.4933], [0.5000, 0.5000, 0.2500], [0.5000, 0.5000, 0.7500]]}

[13]
{"formula": "TiZn2GaAs", "functional": "PBE", "state": "relaxed", "formation_energy_ev_per_fu": 1.91, "spacegroup": "P4/mmm, No. 123", "dos_at_fermi_per_ev_atom": 0.800, "m_tot_mub_per_fu": 0.00, "density_kg_m3": 4301, "energy_ev_per_atom": -3.242, "lattice": [[5.0898, 0.0000, 0.0000], [0.0000, 4.8191, 0.0000], [0.0000, 0.0000, 5.0898]], "species": ["As", "Zn", "Zn", "Ga", "Ti"], "fractional_positions": [[0.0000, 0.5000, 0.0000], [0.0000, 0.0000, 0.5000], [0.5000, 0.0000, 0.0000], [0.5000, 0.5000, 0.5000], [0.0000, 0.0000, 0.0000]]}